ScReW2I | PBE | relaxed

Unit cell a=4.861 b=4.861 c=4.817 alpha=90.00 beta=90.00 gamma=90.00
Atoms (fractional coordinates):
Sc 0.000 0.000 0.000
Re 0.500 0.500 0.000
W 0.000 0.500 0.500
W 0.500 0.000 0.500
I 0.500 0.500 0.500

Values from the calculation:
SG: P4/mmm (123)
uncorrected energy: -6.95 eV/atom
DOS(E_F): 1.489 states/eV/atom
total moment: 0.144 μB per atom

***

Re2TcBr | PBE | relaxed

Unit cell a=2.889 b=2.889 c=26.186 alpha=90.00 beta=90.00 gamma=120.00
Atoms (fractional coordinates):
Re 0.000 0.000 0.248
Re 0.000 0.000 0.752
Re 0.333 0.667 0.419
Re 0.333 0.667 0.915
Re 0.667 0.333 0.085
Re 0.667 0.333 0.581
Tc 0.000 0.000 0.500
Tc 0.333 0.667 0.167
Tc 0.667 0.333 0.833
Br 0.000 0.000 0.000
Br 0.333 0.667 0.667
Br 0.667 0.333 0.333

Values from the calculation:
SG: R-3m (166)
energy above the lowest structure with this stoichiometry: 100 meV/atom
DOS(E_F): 1.512 states/eV/atom
total moment: 0.000 μB per atom

***

MnBiH3 | PBE | relaxed

Unit cell a=4.248 b=4.248 c=4.248 alpha=90.00 beta=90.00 gamma=90.00
Atoms (fractional coordinates):
Mn 0.000 0.000 0.000
Bi 0.500 0.500 0.500
H 0.000 0.500 0.500
H 0.500 0.000 0.500
H 0.500 0.500 0.000

Values from the calculation:
SG: Pm-3m (221)
energy above the lowest structure with this stoichiometry: 590 meV/atom
DOS(E_F): 0.406 states/eV/atom
total moment: 0.986 μB per atom

***

CeSn3Te6 | PBE | relaxed

Unit cell a=12.430 b=4.337 c=13.106 alpha=90.00 beta=105.22 gamma=90.00
Atoms (fractional coordinates):
Ce 0.042 0.250 0.180
Ce 0.958 0.750 0.820
Sn 0.138 0.250 0.595
Sn 0.344 0.750 0.022
Sn 0.456 0.250 0.349
Sn 0.544 0.750 0.651
Sn 0.656 0.250 0.978
Sn 0.862 0.750 0.405
Te 0.102 0.750 0.374
Te 0.114 0.250 0.961
Te 0.187 0.750 0.751
Te 0.239 0.750 0.216
Te 0.379 0.250 0.562
Te 0.499 0.750 0.870
Te 0.501 0.250 0.130
Te 0.621 0.750 0.438
Te 0.761 0.250 0.784
Te 0.813 0.250 0.249
Te 0.886 0.750 0.039
Te 0.898 0.250 0.626

Values from the calculation:
SG: P2_1/m (11)
uncorrected energy: -4.16 eV/atom
DOS(E_F): 0.570 states/eV/atom
total moment: 0.020 μB per atom

***

Pm6Nd2Sn | PBE | relaxed

Unit cell a=9.676 b=9.676 c=3.732 alpha=90.00 beta=90.00 gamma=120.00
Atoms (fractional coordinates):
Pm 0.000 0.275 0.000
Pm 0.000 0.631 0.500
Pm 0.275 0.000 0.000
Pm 0.369 0.369 0.500
Pm 0.631 0.000 0.500
Pm 0.725 0.725 0.000
Nd 0.333 0.667 0.000
Nd 0.667 0.333 0.000
Sn 0.000 0.000 0.500

Values from the calculation:
SG: P-62m (189)
ΔE_f: -1.4 eV/f.u.
DOS(E_F): 1.319 states/eV/atom
total moment: 0.000 μB per atom

***

NaInF | PBE | relaxed

Unit cell a=3.158 b=3.158 c=6.288 alpha=90.00 beta=90.00 gamma=90.00
Atoms (fractional coordinates):
Na 0.000 0.000 0.000
In 0.500 0.500 0.478
F 0.500 0.500 0.046

Values from the calculation:
SG: P4mm (99)
energy above the lowest structure with this stoichiometry: 7 meV/atom
DOS(E_F): 0.155 states/eV/atom
total moment: 0.000 μB per atom

***

Sm3TmSn2C | PBE | relaxed

Unit cell a=4.778 b=4.909 c=16.310 alpha=90.00 beta=90.00 gamma=90.00
Atoms (fractional coordinates):
Sm 0.000 0.000 0.000
Sm 0.000 0.500 0.160
Sm 0.000 0.500 0.840
Sm 0.500 0.000 0.340
Sm 0.500 0.000 0.660
Sm 0.500 0.500 0.500
Tm 0.000 0.000 0.500
Tm 0.500 0.500 0.000
Sn 0.000 0.500 0.362
Sn 0.000 0.500 0.638
Sn 0.500 0.000 0.138
Sn 0.500 0.000 0.862
C 0.000 0.500 0.000
C 0.500 0.000 0.500

Values from the calculation:
SG: Immm (71)
ΔE_f: -4.5 eV/f.u.
DOS(E_F): 0.118 states/eV/atom
total moment: 0.000 μB per atom

***

Pr8Se6Br | PBE | relaxed

Unit cell a=11.132 b=11.132 c=4.351 alpha=90.00 beta=90.00 gamma=120.00
Atoms (fractional coordinates):
Pr 0.039 0.689 0.257
Pr 0.311 0.350 0.257
Pr 0.333 0.667 0.746
Pr 0.350 0.039 0.743
Pr 0.650 0.961 0.257
Pr 0.667 0.333 0.254
Pr 0.689 0.650 0.743
Pr 0.961 0.311 0.743
Se 0.137 0.482 0.245
Se 0.345 0.863 0.245
Se 0.482 0.345 0.755
Se 0.518 0.655 0.245
Se 0.655 0.137 0.755
Se 0.863 0.518 0.755
Br 0.000 0.000 0.500

Values from the calculation:
SG: P-3 (147)
uncorrected energy: -5.47 eV/atom
DOS(E_F): 0.631 states/eV/atom
total moment: 0.000 μB per atom

***

IrSe3 | PBE | relaxed

Unit cell a=5.104 b=8.315 c=3.729 alpha=90.00 beta=90.00 gamma=90.00
Atoms (fractional coordinates):
Ir 0.000 0.000 0.000
Ir 0.500 0.500 0.000
Se 0.000 0.201 0.500
Se 0.000 0.500 0.000
Se 0.000 0.799 0.500
Se 0.500 0.000 0.000
Se 0.500 0.299 0.500
Se 0.500 0.701 0.500

Values from the calculation:
SG: Cmmm (65)
energy above the lowest structure with this stoichiometry: 119 meV/atom
DOS(E_F): 0.387 states/eV/atom
total moment: 0.000 μB per atom

***

CsU4Pd3Se12 | PBE | relaxed

Unit cell a=8.913 b=8.913 c=8.913 alpha=109.47 beta=109.47 gamma=109.47
Atoms (fractional coordinates):
Cs 0.000 0.000 0.000
U 0.000 0.000 0.500
U 0.000 0.500 0.000
U 0.500 0.000 0.000
U 0.500 0.500 0.500
Pd 0.000 0.500 0.500
Pd 0.500 0.000 0.500
Pd 0.500 0.500 0.000
Se 0.153 0.320 0.832
Se 0.168 0.488 0.320
Se 0.168 0.847 0.680
Se 0.320 0.168 0.488
Se 0.320 0.832 0.153
Se 0.488 0.320 0.168
Se 0.512 0.680 0.832
Se 0.680 0.168 0.847
Se 0.680 0.832 0.512
Se 0.832 0.153 0.320
Se 0.832 0.512 0.680
Se 0.847 0.680 0.168

Values from the calculation:
SG: Im-3 (204)
uncorrected energy: -5.93 eV/atom
DOS(E_F): 1.161 states/eV/atom
total moment: 0.355 μB per atom

***

BaAuO4 | PBE | relaxed

Unit cell a=9.107 b=9.107 c=4.618 alpha=104.60 beta=104.60 gamma=39.98
Atoms (fractional coordinates):
Ba 0.192 0.192 0.192
Ba 0.808 0.808 0.808
Au 0.397 0.397 0.897
Au 0.603 0.603 0.103
O 0.007 0.798 0.401
O 0.202 0.993 0.599
O 0.277 0.277 0.777
O 0.317 0.683 0.000
O 0.683 0.317 0.000
O 0.723 0.723 0.223
O 0.798 0.007 0.401
O 0.993 0.202 0.599

Values from the calculation:
SG: C2/m (12)
uncorrected energy: -4.84 eV/atom
DOS(E_F): 0.710 states/eV/atom
total moment: 0.335 μB per atom

***

PmPuAg2O8 | PBE | relaxed

Unit cell a=6.165 b=6.165 c=6.165 alpha=111.62 beta=111.62 gamma=105.24
Atoms (fractional coordinates):
Pm 0.000 0.000 0.000
Pu 0.750 0.250 0.500
Ag 0.250 0.750 0.500
Ag 0.500 0.500 0.000
O 0.030 0.361 0.332
O 0.030 0.698 0.668
O 0.058 0.276 0.782
O 0.302 0.970 0.332
O 0.494 0.276 0.218
O 0.639 0.970 0.668
O 0.724 0.506 0.782
O 0.724 0.942 0.218

Values from the calculation:
SG: I-4m2 (119)
uncorrected energy: -6.67 eV/atom
DOS(E_F): 0.453 states/eV/atom
total moment: 0.005 μB per atom

***

Pr8Tl2Ge | PBE | relaxed

Unit cell a=10.148 b=10.148 c=7.057 alpha=105.43 beta=105.43 gamma=30.51
Atoms (fractional coordinates):
Pr 0.009 0.009 0.272
Pr 0.212 0.212 0.816
Pr 0.347 0.347 0.513
Pr 0.410 0.410 0.039
Pr 0.590 0.590 0.961
Pr 0.653 0.653 0.487
Pr 0.788 0.788 0.184
Pr 0.991 0.991 0.728
Tl 0.176 0.176 0.245
Tl 0.824 0.824 0.755
Ge 0.500 0.500 0.500

Values from the calculation:
SG: C2/m (12)
ΔE_f: -2.9 eV/f.u.
DOS(E_F): 1.115 states/eV/atom
total moment: 0.000 μB per atom

***

SrMg2As | PBE | relaxed

Unit cell a=3.673 b=3.673 c=7.944 alpha=90.00 beta=90.00 gamma=90.00
Atoms (fractional coordinates):
Sr 0.000 0.000 0.000
Mg 0.500 0.500 0.319
Mg 0.500 0.500 0.681
As 0.000 0.000 0.500

Values from the calculation:
SG: P4/mmm (123)
ΔE_f: -0.8 eV/f.u.
DOS(E_F): 0.649 states/eV/atom
total moment: 0.000 μB per atom

***

TaZnCr2 | PBE | relaxed

Unit cell a=2.802 b=2.802 c=25.701 alpha=90.00 beta=90.00 gamma=120.00
Atoms (fractional coordinates):
Ta 0.000 0.000 0.000
Ta 0.333 0.667 0.667
Ta 0.667 0.333 0.333
Zn 0.000 0.000 0.761
Zn 0.333 0.667 0.428
Zn 0.667 0.333 0.094
Cr 0.000 0.000 0.243
Cr 0.000 0.000 0.513
Cr 0.333 0.667 0.179
Cr 0.333 0.667 0.910
Cr 0.667 0.333 0.577
Cr 0.667 0.333 0.846

Values from the calculation:
SG: R3m (160)
ΔE_f: 1.2 eV/f.u.
DOS(E_F): 1.053 states/eV/atom
total moment: 0.100 μB per atom

***

Sc6As2C | PBE | relaxed

Unit cell a=5.820 b=7.035 c=10.270 alpha=90.00 beta=122.94 gamma=90.00
Atoms (fractional coordinates):
Sc 0.124 0.165 0.451
Sc 0.124 0.335 0.951
Sc 0.309 0.702 0.451
Sc 0.309 0.798 0.951
Sc 0.366 0.029 0.249
Sc 0.366 0.471 0.749
Sc 0.634 0.529 0.251
Sc 0.634 0.971 0.751
Sc 0.691 0.202 0.049
Sc 0.691 0.298 0.549
Sc 0.876 0.665 0.049
Sc 0.876 0.835 0.549
As 0.187 0.112 0.754
As 0.187 0.388 0.254
As 0.813 0.612 0.746
As 0.813 0.888 0.246
C 0.500 0.000 0.500
C 0.500 0.500 0.000

Values from the calculation:
SG: P2_1/c (14)
energy above the lowest structure with this stoichiometry: 0 meV/atom
ΔE_f: -7.4 eV/f.u.
DOS(E_F): 0.880 states/eV/atom
total moment: 0.000 μB per atom

***

SmErSb2O8 | PBE | relaxed

Unit cell a=6.767 b=6.767 c=6.767 alpha=134.03 beta=134.03 gamma=67.04
Atoms (fractional coordinates):
Sm 0.000 0.000 0.000
Er 0.250 0.750 0.500
Sb 0.500 0.500 0.000
Sb 0.750 0.250 0.500
O 0.022 0.084 0.433
O 0.234 0.663 0.078
O 0.337 0.415 0.570
O 0.410 0.978 0.062
O 0.585 0.156 0.922
O 0.652 0.590 0.567
O 0.844 0.766 0.430
O 0.916 0.348 0.938

Values from the calculation:
SG: I-4 (82)
uncorrected energy: -7.10 eV/atom
DOS(E_F): 0.000 states/eV/atom
total moment: 0.000 μB per atom

***

BaNaSbTe2 | PBE | relaxed

Unit cell a=6.099 b=6.099 c=6.253 alpha=90.00 beta=90.00 gamma=90.00
Atoms (fractional coordinates):
Ba 0.000 0.000 0.000
Na 0.500 0.500 0.000
Sb 0.000 0.000 0.500
Te 0.000 0.500 0.500
Te 0.500 0.000 0.500

Values from the calculation:
SG: P4/mmm (123)
energy above the lowest structure with this stoichiometry: 105 meV/atom
DOS(E_F): 0.310 states/eV/atom
total moment: 0.000 μB per atom

***

MgHPt3 | PBE | relaxed

Unit cell a=4.031 b=4.031 c=4.031 alpha=90.00 beta=90.00 gamma=90.00
Atoms (fractional coordinates):
Mg 0.000 0.000 0.000
H 0.500 0.500 0.500
Pt 0.000 0.500 0.500
Pt 0.500 0.000 0.500
Pt 0.500 0.500 0.000

Values from the calculation:
SG: Pm-3m (221)
energy above the lowest structure with this stoichiometry: 25 meV/atom
DOS(E_F): 0.776 states/eV/atom
total moment: 0.000 μB per atom

***

K2Np2AsS2 | PBE | relaxed

Unit cell a=5.382 b=5.382 c=15.973 alpha=90.00 beta=90.00 gamma=90.00
Atoms (fractional coordinates):
K 0.000 0.000 0.202
K 0.000 0.000 0.798
K 0.500 0.500 0.298
K 0.500 0.500 0.702
Np 0.000 0.500 0.000
Np 0.000 0.500 0.500
Np 0.500 0.000 0.000
Np 0.500 0.000 0.500
As 0.000 0.000 0.000
As 0.500 0.500 0.500
S 0.000 0.000 0.398
S 0.000 0.000 0.602
S 0.500 0.500 0.102
S 0.500 0.500 0.898

Values from the calculation:
SG: I4/mmm (139)
uncorrected energy: -6.41 eV/atom
DOS(E_F): 2.360 states/eV/atom
total moment: 1.255 μB per atom